DFT (PBE with a Hubbard U) results for a relaxed CsSmNiF6 crystal.

a b c (Å): 5.810 5.810 6.403
angles (deg): 90.23 90.23 119.57
Fractional positions:
Cs (0.000, 0.000, 0.000)
Sm (0.333, 0.667, 0.500)
Ni (0.668, 0.332, 0.500)
F (0.396, 0.367, 0.319)
F (0.401, 0.028, 0.683)
F (0.629, 0.024, 0.319)
F (0.633, 0.604, 0.681)
F (0.972, 0.599, 0.317)
F (0.976, 0.371, 0.681)

Output
VASP energy ... -47.7 eV for the cell shown
Space-group type ... C2